! PBE-GGA MgTe2Se, optimized geometry; values from VASP
! - Crystal system: tetragonal
! - Fermi-level density of states: 0.678 states/eV per atom
! - Energy: -3.19 eV per atom
! - Space-group type: I4/mmm (139)
! - Raw formation energy: -8.1 kcal/mol of atoms
&SYSTEM
  ibrav = 0, nat = 4, ntyp = 3
/
ATOMIC_SPECIES
Mg 24.30 Mg.upf
Se 78.96 Se.upf
Te 127.60 Te.upf
ATOMIC_POSITIONS crystal
Mg 0.000 0.500 0.500
Se 0.500 0.500 0.000
Te 0.000 0.000 0.000
Te 0.500 0.000 0.500
CELL_PARAMETERS angstrom
5.227 0.062 0.105
-1.733 4.931 -0.107
1.762 2.488 4.248

! PBE-GGA MgTe2Se, optimized geometry; values from VASP
! - Crystal system: orthorhombic
! - Fermi-level density of states: 0.730 states/eV per atom
! - Energy: -2.99 eV per atom
! - Space-group type: Pmmm (47)
! - Raw formation energy: -3.5 kcal/mol of atoms
&SYSTEM
  ibrav = 0, nat = 4, ntyp = 3
/
ATOMIC_SPECIES
Mg 24.30 Mg.upf
Se 78.96 Se.upf
Te 127.60 Te.upf
ATOMIC_POSITIONS crystal
Mg 0.500 0.000 0.500
Se 0.000 0.500 0.500
Te 0.000 0.000 0.000
Te 0.500 0.500 0.000
CELL_PARAMETERS angstrom
3.951 0.000 0.000
0.000 8.694 0.000
0.000 0.000 4.069

! PBE-GGA Mg2TeSe, optimized geometry; values from VASP
! - Crystal system: tetragonal
! - Fermi-level density of states: 0.417 states/eV per atom
! - Energy: -2.93 eV per atom
! - Space-group type: P4/mmm (123)
! - Raw formation energy: -10.9 kcal/mol of atoms
&SYSTEM
  ibrav = 0, nat = 4, ntyp = 3
/
ATOMIC_SPECIES
Mg 24.30 Mg.upf
Se 78.96 Se.upf
Te 127.60 Te.upf
ATOMIC_POSITIONS crystal
Mg 0.000 0.000 0.000
Mg 0.500 0.500 0.000
Se 0.500 0.000 0.500
Te 0.000 0.500 0.500
CELL_PARAMETERS angstrom
-2.268 3.816 2.529
-1.600 -3.305 3.553
2.975 0.545 1.846

! PBE-GGA MgTe2Se, optimized geometry; values from VASP
! - Crystal system: trigonal
! - Fermi-level density of states: 0.943 states/eV per atom
! - Energy: -2.96 eV per atom
! - Space-group type: R-3m (166)
! - Raw formation energy: -2.7 kcal/mol of atoms
&SYSTEM
  ibrav = 0, nat = 4, ntyp = 3
/
ATOMIC_SPECIES
Mg 24.30 Mg.upf
Se 78.96 Se.upf
Te 127.60 Te.upf
ATOMIC_POSITIONS crystal
Mg 0.250 0.250 0.250
Se 0.750 0.750 0.750
Te 0.996 0.996 0.996
Te 0.504 0.504 0.504
CELL_PARAMETERS angstrom
7.609 -0.013 -0.008
6.461 4.019 -0.008
6.461 1.839 3.573

! PBE-GGA Mg4TeSe, optimized geometry; values from VASP
! - Crystal system: cubic
! - Fermi-level density of states: 0.222 states/eV per atom
! - Energy: -2.29 eV per atom
! - Space-group type: F-43m (216)
! - Raw formation energy: -2.8 kcal/mol of atoms
&SYSTEM
  ibrav = 0, nat = 6, ntyp = 3
/
ATOMIC_SPECIES
Mg 24.30 Mg.upf
Te 127.60 Te.upf
Se 78.96 Se.upf
ATOMIC_POSITIONS crystal
Mg 0.875 0.375 0.375
Mg 0.375 0.375 0.875
Mg 0.375 0.875 0.375
Mg 0.375 0.375 0.375
Te 0.000 0.000 0.000
Se 0.750 0.750 0.750
CELL_PARAMETERS angstrom
3.344 -4.508 1.634
-2.274 -4.302 3.240
-0.865 -5.283 -2.348

! PBE-GGA Mg2TeSe, optimized geometry; values from VASP
! - Crystal system: triclinic
! - Fermi-level density of states: 0.000 states/eV per atom
! - Energy: -3.51 eV per atom
! - Space-group type: P1 (1)
! - Raw formation energy: -24.3 kcal/mol of atoms
&SYSTEM
  ibrav = 0, nat = 8, ntyp = 3
/
ATOMIC_SPECIES
Mg 24.30 Mg.upf
Te 127.60 Te.upf
Se 78.96 Se.upf
ATOMIC_POSITIONS crystal
Mg 0.176 0.340 0.193
Mg 0.925 0.848 0.408
Mg 0.659 0.378 0.655
Mg 0.409 0.871 0.938
Te 0.605 0.481 0.991
Te 0.850 0.990 0.726
Se 0.359 0.977 0.244
Se 0.104 0.487 0.481
CELL_PARAMETERS angstrom
4.421 -0.001 0.000
2.209 7.225 1.198
-0.002 0.102 7.660